Density functional theory data (GGA-PBE) for a relaxed structure of CaMgAl2Ir.

The structure in POSCAR format:
```
CaMgAl2Ir
1.0
4.7806 0.0000 0.0000
0.0000 4.7806 0.0000
0.0000 0.0000 4.9940
Ca Mg Al Ir
1 1 2 1
direct
0.0000 0.0000 0.0000
0.5000 0.5000 0.0000
0.0000 0.5000 0.5000
0.5000 0.0000 0.5000
0.5000 0.5000 0.5000
```

Results
For the density of states at the Fermi level, the calculation gives 4.25 states/eV/cell. As for the energy: -4.35 eV per atom. For the total magnetization, the calculation gives 0.1 μB/f.u.